Record 1
Material: SrMnBe2
Method: DFT, PBE
State: relaxed

Energy relative to the lowest polymorph listed for this composition = 0.0 kJ per mole of atoms
Crystal system = trigonal
ΔE_f = 0.232 eV/atom
Space group = R-3m, No. 166
Theoretical density = 3.5 g/cm3
Total magnetic moment = 0.782 μB per atom

extended XYZ file:
```
12
Lattice="3.9952 0.0000 0.0000 -1.9976 3.4599 0.0000 0.0000 0.0000 16.3842" Properties=species:S:1:pos:R:3 pbc="T T T"
Sr 0.0000 0.0000 0.0000
Sr 0.0000 2.3066 10.9228
Sr 1.9976 1.1533 5.4614
Mn 0.0000 0.0000 8.1921
Mn 0.0000 2.3066 2.7307
Mn 1.9976 1.1533 13.6535
Be 0.0000 0.0000 2.9998
Be 0.0000 0.0000 13.3844
Be 0.0000 2.3066 7.9229
Be 0.0000 2.3066 13.9227
Be 1.9976 1.1533 2.4615
Be 1.9976 1.1533 8.4613
```


Record 2
Material: TeRu
Method: DFT, PBE
State: relaxed

Crystal system = tetragonal
Energy relative to the elements, uncorrected = 0.556 eV per atom
Space group = I4_1/amd, No. 141
Theoretical density = 10.3 g/cm3
Total magnetic moment = 0.000 μB per atom

extended XYZ file:
```
8
Lattice="3.9180 0.0000 0.0000 0.0000 3.9180 0.0000 0.0000 0.0000 9.6353" Properties=species:S:1:pos:R:3 pbc="T T T"
Te 0.0000 0.9795 3.6132
Te 0.0000 2.9385 6.0221
Te 1.9590 0.9795 1.2044
Te 1.9590 2.9385 8.4309
Ru 0.0000 0.9795 8.4309
Ru 0.0000 2.9385 1.2044
Ru 1.9590 0.9795 6.0221
Ru 1.9590 2.9385 3.6132
```


Record 3
Material: Cs6K3Rb
Method: DFT, PBE
State: relaxed

Crystal system = monoclinic
ΔE_f = 0.015 eV/atom
Space group = P2_1/c, No. 14
Theoretical density = 1.6 g/cm3
Total magnetic moment = 0.000 μB per atom

extended XYZ file:
```
20
Lattice="8.2353 0.0000 0.0000 0.0000 14.1702 0.0000 -8.2016 0.0000 17.3091" Properties=species:S:1:pos:R:3 pbc="T T T"
Cs 0.0036 2.2494 1.5590
Cs -4.0972 4.8357 10.2136
Cs -4.0899 9.5375 13.0702
Cs 0.0109 11.7177 4.4157
Cs 0.0143 2.3893 7.0562
Cs -4.0865 4.6958 15.7108
Cs 4.1202 9.4744 1.5983
Cs 0.0194 11.7809 10.2529
Cs 0.0228 2.4524 12.8935
Cs 4.1236 4.6327 4.2389
Cs 4.1309 9.3345 7.0956
Cs 0.0301 11.9208 15.7502
K -4.0962 0.1155 13.0503
K 0.0046 6.9695 4.3958
K 4.1176 0.0000 0.0000
K 0.0168 7.0851 8.6546
K 0.0290 7.2006 12.9134
K 4.1298 14.0546 4.2588
Rb -4.1008 0.0000 8.6546
Rb 0.0000 7.0851 0.0000
```


Record 4
Material: Na3BW
Method: DFT, PBE
State: relaxed

Energy relative to the lowest polymorph listed for this composition = 0.0 kJ per mole of atoms
Crystal system = cubic
ΔE_f = 1.872 eV/atom
Space group = Pm-3m, No. 221
Theoretical density = 3.4 g/cm3
Total magnetic moment = 0.681 μB per atom

extended XYZ file:
```
5
Lattice="5.0531 0.0000 0.0000 0.0000 5.0531 0.0000 0.0000 0.0000 5.0531" Properties=species:S:1:pos:R:3 pbc="T T T"
Na 0.0000 0.0000 2.5266
Na 0.0000 2.5266 0.0000
Na 2.5266 0.0000 0.0000
B 0.0000 0.0000 0.0000
W 2.5266 2.5266 2.5266
```


Record 5
Material: BaInSn
Method: DFT, PBE
State: relaxed

Crystal system = orthorhombic
ΔE_f = -0.303 eV/atom
Space group = Cmcm, No. 63
Theoretical density = 5.1 g/cm3
Total magnetic moment = 0.000 μB per atom

extended XYZ file:
```
12
Lattice="4.9796 0.0000 0.0000 0.0000 16.9133 0.0000 0.0000 0.0000 5.7070" Properties=species:S:1:pos:R:3 pbc="T T T"
Ba 0.0000 2.4448 1.4267
Ba 0.0000 14.4686 4.2802
Ba 2.4898 6.0119 4.2802
Ba 2.4898 10.9014 1.4267
In 0.0000 8.4567 0.0000
In 0.0000 8.4567 2.8535
In 2.4898 0.0000 0.0000
In 2.4898 0.0000 2.8535
Sn 0.0000 5.9434 1.4267
Sn 0.0000 10.9699 4.2802
Sn 2.4898 2.5132 4.2802
Sn 2.4898 14.4001 1.4267
```


Record 6
Material: ZrPb2CCl
Method: DFT, PBE
State: relaxed

Crystal system = tetragonal
Energy relative to the elements, uncorrected = 0.443 eV per atom
Space group = P4/mmm, No. 123
Theoretical density = 7.3 g/cm3
Total magnetic moment = 0.000 μB per atom

extended XYZ file:
```
5
Lattice="5.3714 0.0000 0.0000 0.0000 5.3714 0.0000 0.0000 0.0000 4.3648" Properties=species:S:1:pos:R:3 pbc="T T T"
Zr 0.0000 0.0000 0.0000
Pb 0.0000 2.6857 2.1824
Pb 2.6857 0.0000 2.1824
C 0.0000 0.0000 2.1824
Cl 2.6857 2.6857 0.0000
```


Record 7
Material: HoZn2GaCu4
Method: DFT, PBE
State: relaxed

Crystal system = trigonal
ΔE_f = -0.153 eV/atom
Space group = R-3m, No. 166
Theoretical density = 8.3 g/cm3
Total magnetic moment = 0.000 μB per atom

extended XYZ file:
```
8
Lattice="2.1041 1.2148 8.1143 -2.1041 1.2148 8.1143 0.0000 -2.4296 8.1143" Properties=species:S:1:pos:R:3 pbc="T T T"
Ho 0.0000 0.0000 0.0000
Zn 0.0000 0.0000 6.0006
Zn 0.0000 0.0000 18.3425
Ga 0.0000 0.0000 12.1715
Cu 0.0000 0.0000 3.1339
Cu 0.0000 0.0000 9.7432
Cu 0.0000 0.0000 14.5998
Cu 0.0000 0.0000 21.2091
```


Record 8
Material: VRu3
Method: DFT, PBE
State: relaxed

Crystal system = orthorhombic
ΔE_f = -0.102 eV/atom
Space group = Pmm2, No. 25
Theoretical density = 10.7 g/cm3
Total magnetic moment = 0.000 μB per atom

extended XYZ file:
```
4
Lattice="2.7561 0.0000 0.0000 0.0000 4.3019 0.0000 0.0000 0.0000 4.6527" Properties=species:S:1:pos:R:3 pbc="T T T"
V 0.0000 0.0000 0.0000
Ru 0.0000 2.1510 1.6168
Ru 1.3780 0.0000 2.3423
Ru 1.3780 2.1510 3.9964
```